The following is a DFT calculation (PBE with a Hubbard U) of a geometry-optimized YCrN2F structure.

Calculated values
Symmetry: P4/mmm
Crystal system: tetragonal
Electronic total energy: -7.52 eV per atom
Density of states at the Fermi level: 1.00 states/eV per cell
Energy above the most stable polymorph in this dataset: 0.000 eV/atom

Lattice parameters (Å, degrees): 3.937 3.937 3.805 90.00 90.00 90.00
Positions (direct):
Y  0.000  0.000  0.000
Cr  0.500  0.500  0.500
N  0.000  0.500  0.500
N  0.500  0.000  0.500
F  0.500  0.500  0.000